(1)
Pr5Sm4In: optimized geometry, GGA-PBE.

Output
- total energy (eV per atom) = -4.56
- distance to the lowest polymorph of the same formula (meV/atom) = 0
- formation energy (eV/atom) = -0.01
- Fermi-level density of states (states/eV/f.u.) = 17.6
- crystal system = tetragonal

Lattice parameters (Å, degrees): 4.280 4.280 18.421 90.00 90.00 90.00
Fractional positions:
Pr  0.000  0.000  0.000
Pr  0.000  0.000  0.204
Pr  0.000  0.000  0.411
Pr  0.000  0.000  0.589
Pr  0.000  0.000  0.796
Sm  0.500  0.500  0.102
Sm  0.500  0.500  0.305
Sm  0.500  0.500  0.695
Sm  0.500  0.500  0.898
In  0.500  0.500  0.500

(2)
ErGeIr: optimized geometry, GGA-PBE.

Output
- total energy (eV per atom) = -6.96
- formation energy (eV/atom) = -0.95
- Fermi-level density of states (states/eV/f.u.) = 1.3
- crystal system = orthorhombic

Lattice parameters (Å, degrees): 6.829 4.298 7.605 90.00 90.00 90.00
Fractional positions:
Er  0.006  0.250  0.192
Er  0.494  0.750  0.692
Er  0.506  0.250  0.308
Er  0.994  0.750  0.808
Ge  0.210  0.750  0.389
Ge  0.290  0.250  0.889
Ge  0.710  0.750  0.111
Ge  0.790  0.250  0.611
Ir  0.162  0.250  0.565
Ir  0.338  0.750  0.065
Ir  0.662  0.250  0.935
Ir  0.838  0.750  0.435

Which formula does entry 1 have? Pr5Sm4In

What did the first record say?
Pr5Sm4In: optimized geometry, GGA-PBE.

Output
- total energy (eV per atom) = -4.56
- distance to the lowest polymorph of the same formula (meV/atom) = 0
- formation energy (eV/atom) = -0.01
- Fermi-level density of states (states/eV/f.u.) = 17.6
- crystal system = tetragonal

Lattice parameters (Å, degrees): 4.280 4.280 18.421 90.00 90.00 90.00
Fractional positions:
Pr  0.000  0.000  0.000
Pr  0.000  0.000  0.204
Pr  0.000  0.000  0.411
Pr  0.000  0.000  0.589
Pr  0.000  0.000  0.796
Sm  0.500  0.500  0.102
Sm  0.500  0.500  0.305
Sm  0.500  0.500  0.695
Sm  0.500  0.500  0.898
In  0.500  0.500  0.500